VASP calculation (PBE) on a geometry-optimized InHgMo2 structure.

Computed properties:
Electronic total energy = -22.5 eV for the cell shown
Offset from the most stable computed form = 0.220 eV/atom
ΔH_f (0 K) = 2.2 eV/f.u.
Symmetry = C2/m, No. 12
Size of the total moment = 0.000 μB/atom

The structure in POSCAR format:
```
InHgMo2
1.0
2.832 -4.657 0.000
2.832 4.657 0.000
-0.702 0.000 2.766
In Hg Mo
1 1 2
Direct
0.000 0.000 0.000
0.500 0.500 0.000
0.000 0.500 0.500
0.500 0.000 0.500
```